1.
Below is crystalline Pm4Nd5Y2 at its relaxed geometry, with properties calculated at the GGA-PBE level.

```
Pm4Nd5Y2
1.0
5.6606 -3.7411 0.0000
5.6606 3.7411 0.0000
-2.6081 0.0000 9.0075
Pm Nd Y
4 5 2
Cartesian
1.5929 0.0000 1.0682
0.9130 0.0000 4.4782
7.8000 0.0000 4.5294
7.1201 0.0000 7.9393
4.2713 2.1038 2.0813
4.4417 2.1038 6.9262
4.3565 0.0000 4.5038
4.2713 -2.1038 2.0813
4.4417 -2.1038 6.9262
1.7608 0.0000 7.9011
6.9522 0.0000 1.1064
```

Calculated values
total DFT energy (no corrections) = -54.5 eV/f.u.
calculated formation energy = 112 meV/atom
symmetry = C2/m, No. 12
size of the total moment = 0.00 μB per formula unit

***

2.
Below is crystalline H3S2Cl2 at its relaxed geometry, with properties calculated at the GGA-PBE level.

```
H3S2Cl2
1.0
5.5753 -1.5126 0.0000
5.5753 1.5126 0.0000
-3.3372 0.0000 8.1079
H S Cl
3 2 2
Cartesian
0.0000 0.0000 0.0000
0.6301 0.0000 7.3072
7.1832 0.0000 0.8008
1.1416 0.0000 1.1789
6.6718 0.0000 6.9290
3.1819 0.0000 4.7520
4.6315 0.0000 3.3559
```

Calculated values
total DFT energy (no corrections) = -20.3 eV/f.u.
symmetry = C2/m, No. 12
size of the total moment = 0.22 μB per formula unit

***

3.
Below is crystalline GePb at its relaxed geometry, with properties calculated at the GGA-PBE level.

```
GePb
1.0
-5.9347 5.9347 2.2759
5.9347 -5.9347 2.2759
5.9347 5.9347 -2.2759
Ge Pb
4 4
Cartesian
3.3477 1.4338 0.0000
4.5010 -2.5871 2.2759
1.4338 8.5218 0.0000
2.5871 4.5010 2.2759
8.4606 1.3452 0.0000
1.3452 3.4089 0.0000
4.5895 2.5259 2.2759
-2.5259 4.5895 2.2759
```

Calculated values
total DFT energy (no corrections) = -7.5 eV/f.u.
calculated formation energy = 397 meV/atom
symmetry = I4/m, No. 87
size of the total moment = 0.00 μB per formula unit

***

4.
Below is crystalline Sc2Cd5Ag2 at its relaxed geometry, with properties calculated at the GGA-PBE level.

```
Sc2Cd5Ag2
1.0
-4.9176 7.7990 2.5974
4.9176 -7.7990 2.5974
4.9176 7.7990 -2.5974
Sc Cd Ag
4 10 4
Cartesian
2.4588 10.0428 -1.2987
2.4588 2.2437 1.2987
-2.4588 5.5553 1.2987
2.4588 5.5553 1.2987
4.9176 2.2309 -0.5523
2.4588 7.0367 -1.2987
2.4588 -0.7623 1.2987
4.9176 5.5681 -0.5523
0.0000 3.8995 0.5714
4.9176 3.8995 2.0260
0.0000 2.2309 3.1497
-2.4588 8.5614 1.2987
2.4588 8.5614 1.2987
0.0000 5.5681 3.1497
0.0000 0.0000 0.0000
2.4588 3.8995 -1.2987
2.4588 -3.8995 1.2987
0.0000 7.7990 0.0000
```

Calculated values
total DFT energy (no corrections) = -23.5 eV/f.u.
calculated formation energy = -60 meV/atom
symmetry = Imma, No. 74
size of the total moment = 0.00 μB per formula unit

***

5.
Below is crystalline Tb6Pr2Dy3Pb at its relaxed geometry, with properties calculated at the GGA-PBE level.

```
Tb6Pr2Dy3Pb
1.0
3.0670 -5.3146 0.0000
3.0670 5.3146 0.0000
-2.0543 0.0000 11.6515
Tb Pr Dy Pb
6 2 3 1
Cartesian
-0.0321 1.7339 8.7562
0.9785 0.0000 2.8821
-0.0321 -1.7339 8.7562
4.1118 1.7339 2.8952
3.1013 0.0000 8.7694
4.1118 -1.7339 2.8952
2.0399 1.7661 5.8257
2.0399 -1.7661 5.8257
3.0670 3.5333 0.0000
3.0670 0.0000 0.0000
3.0670 -3.5333 0.0000
-1.0271 0.0000 5.8257
```

Calculated values
total DFT energy (no corrections) = -55.7 eV/f.u.
calculated formation energy = -68 meV/atom
symmetry = C2/m, No. 12
size of the total moment = 0.00 μB per formula unit

***

6.
Below is crystalline BeSb2W at its relaxed geometry, with properties calculated at the GGA-PBE level.

```
BeSb2W
1.0
-1.8157 2.4677 4.0208
1.8157 -2.4677 4.0208
1.8157 2.4677 -4.0208
Be Sb W
1 2 1
Cartesian
0.0000 0.0000 0.0000
1.8157 0.0000 1.7226
0.0000 2.4677 2.2982
0.0000 0.0000 4.0208
```

Calculated values
total DFT energy (no corrections) = -22.4 eV/f.u.
symmetry = Immm, No. 71
size of the total moment = 0.00 μB per formula unit

***

7.
Below is crystalline Si2Ge2Te at its relaxed geometry, with properties calculated at the GGA-PBE level.

```
Si2Ge2Te
1.0
-2.3156 2.3156 4.7425
2.3156 -2.3156 4.7425
2.3156 2.3156 -4.7425
Si Ge Te
2 2 1
Cartesian
2.3156 0.0000 2.3713
0.0000 2.3156 2.3713
0.0000 0.0000 1.2529
0.0000 0.0000 8.2322
0.0000 0.0000 4.7425
```

Calculated values
total DFT energy (no corrections) = -21.5 eV/f.u.
symmetry = I4/mmm, No. 139
size of the total moment = 0.00 μB per formula unit

***

8.
Below is crystalline ErPaOsPb at its relaxed geometry, with properties calculated at the GGA-PBE level.

```
ErPaOsPb
1.0
3.3042 0.0000 0.0000
0.0000 3.3042 0.0000
0.0000 0.0000 8.6691
Er Pa Os Pb
1 1 1 1
Cartesian
0.0000 0.0000 0.0000
0.0000 0.0000 5.0992
1.6521 1.6521 6.7902
1.6521 1.6521 2.5124
```

Calculated values
total DFT energy (no corrections) = -30.3 eV/f.u.
calculated formation energy = -323 meV/atom
symmetry = P4mm, No. 99
size of the total moment = 0.00 μB per formula unit

***

9.
Below is crystalline Pm5ScIn4 at its relaxed geometry, with properties calculated at the GGA-PBE level.

```
Pm5ScIn4
1.0
3.6968 0.0000 0.0000
0.0000 3.6968 0.0000
0.0000 0.0000 21.1170
Pm Sc In
5 1 4
Cartesian
0.0000 0.0000 0.0000
0.0000 0.0000 4.2086
0.0000 0.0000 8.3546
0.0000 0.0000 12.7623
0.0000 0.0000 16.9084
1.8484 1.8484 10.5585
1.8484 1.8484 2.1057
1.8484 1.8484 6.3082
1.8484 1.8484 14.8087
1.8484 1.8484 19.0112
```

Calculated values
total DFT energy (no corrections) = -44.8 eV/f.u.
calculated formation energy = -372 meV/atom
symmetry = P4/mmm, No. 123
size of the total moment = 0.00 μB per formula unit

***

10.
Below is crystalline Pm4Pr3S8 at its relaxed geometry, with properties calculated at the GGA-PBE level.

```
Pm4Pr3S8
1.0
5.7422 -5.7432 0.0000
5.7422 5.7432 0.0000
-5.7264 0.0000 5.7435
Pm Pr S
4 3 8
Cartesian
0.0000 0.0000 0.0000
-2.8632 0.0000 2.8717
2.8711 2.8716 0.0000
2.8711 -2.8716 0.0000
0.0079 2.8716 2.8717
0.0079 -2.8716 2.8717
2.8790 0.0000 2.8717
-0.0160 0.0000 2.8508
-2.8707 0.0000 5.7202
5.7422 2.8899 0.0000
2.8790 2.8953 2.8717
5.7422 -2.8899 0.0000
2.8790 -2.8953 2.8717
8.6287 0.0000 0.0233
5.7740 0.0000 2.8927
```

Calculated values
total DFT energy (no corrections) = -97.0 eV/f.u.
symmetry = C2/m, No. 12
size of the total moment = 0.00 μB per formula unit

***

11.
Below is crystalline RbDyMnSe4 at its relaxed geometry, with properties calculated at the GGA-PBE level.

```
RbDyMnSe4
1.0
6.6930 0.0000 0.0000
0.0000 6.6617 0.0000
-3.1042 0.0000 9.0780
Rb Dy Mn Se
2 2 2 8
Cartesian
0.2613 1.6654 3.9991
3.3276 4.9963 5.0789
-1.1683 1.6654 8.6303
4.7571 4.9963 0.4477
1.3312 4.9963 1.5592
2.2576 1.6654 7.5188
-0.4948 4.9963 2.9705
-2.3256 4.9963 8.4059
0.7230 3.3932 7.2081
0.7230 6.5993 7.2081
2.8659 0.0624 1.8699
2.8659 3.2684 1.8699
5.9145 1.6654 0.6721
4.0836 1.6654 6.1075
```

Calculated values
total DFT energy (no corrections) = -36.2 eV/f.u.
symmetry = P2_1/m, No. 11
size of the total moment = 3.00 μB per formula unit

***

12.
Below is crystalline NaH3Pd at its relaxed geometry, with properties calculated at the GGA-PBE level.

```
NaH3Pd
1.0
1.9363 -5.6360 0.0000
1.9363 5.6360 0.0000
0.0000 0.0000 5.6659
Na H Pd
2 6 2
Cartesian
1.9363 4.2607 4.2494
1.9363 -4.2607 1.4165
1.4776 3.6362 1.4165
2.3951 3.6362 1.4165
1.9363 0.0000 0.0000
1.9363 0.0000 2.8329
1.4776 -3.6362 4.2494
2.3951 -3.6362 4.2494
1.9363 0.9941 4.2494
1.9363 -0.9941 1.4165
```

Calculated values
total DFT energy (no corrections) = -16.6 eV/f.u.
symmetry = Cmcm, No. 63
size of the total moment = 0.00 μB per formula unit